Entry 1:
The following is a DFT calculation (PBE) of Th12ScIn3 after structural relaxation.

Unit cell a=4.942 b=4.942 c=19.984 alpha=90.00 beta=90.00 gamma=90.00
Sites, in units of the cell vectors:
1 Th 0.000 0.500 0.874
2 Th 0.500 0.500 0.750
3 Th 0.500 0.500 0.500
4 Sc 0.000 0.000 0.000
5 Th 0.000 0.500 0.624
6 In 0.000 0.000 0.748
7 Th 0.500 0.000 0.874
8 In 0.000 0.000 0.252
9 Th 0.500 0.500 0.000
10 In 0.000 0.000 0.500
11 Th 0.500 0.500 0.250
12 Th 0.500 0.000 0.376
13 Th 0.500 0.000 0.126
14 Th 0.500 0.000 0.624
15 Th 0.000 0.500 0.376
16 Th 0.000 0.500 0.126

Results
Its formation enthalpy at 0 K is -91 meV per atom. The space group is No. 123.

Entry 2:
The following is a DFT calculation (PBE) of RbWSeN2 after structural relaxation.

Unit cell a=4.118 b=4.118 c=5.134 alpha=90.00 beta=90.00 gamma=90.00
Site moments in Bohr magnetons follow the coordinates.
Sites, in units of the cell vectors:
1 W 0.000 0.000 0.000  -0.07
2 N 0.000 0.500 0.000  0.12
3 Rb 0.500 0.500 0.500  0.00
4 N 0.500 0.000 0.000  0.12
5 Se 0.000 0.000 0.500  0.04

Results
The calculation puts the energy above the most stable polymorph in this dataset at 0.0000 eV/atom. The space group is No. 123. As for the formation energy without anion corrections: 0.186 eV per atom.

Entry 3:
The following is a DFT calculation (PBE) of Pr3Dy2Ho3 after structural relaxation.

Unit cell a=5.075 b=5.101 c=10.809 alpha=103.65 beta=103.58 gamma=90.00
Sites, in units of the cell vectors:
1 Ho 0.373 0.373 0.747
2 Pr 0.125 0.125 0.251
3 Pr 0.875 0.875 0.749
4 Pr 0.000 0.500 0.000
5 Dy 0.751 0.251 0.501
6 Dy 0.249 0.749 0.499
7 Ho 0.627 0.627 0.253
8 Ho 0.500 0.000 0.000

Results
Its formation enthalpy at 0 K is 23 meV per atom. The calculation puts the energy above the most stable polymorph in this dataset at 0.0000 eV/atom. The space group is No. 71.

Entry 4:
The following is a DFT calculation (PBE) of AlZnMo2 after structural relaxation.

Unit cell a=9.171 b=9.171 c=9.171 alpha=17.68 beta=17.68 gamma=17.68
Sites, in units of the cell vectors:
1 Mo 0.000 0.000 0.000
2 Al 0.750 0.750 0.750
3 Zn 0.250 0.250 0.250
4 Mo 0.500 0.500 0.500

Results
Its formation enthalpy at 0 K is 117 meV per atom. The space group is No. 166.

Number 1: N(E_F) 1.328 states/eV per atom. Number 2: N(E_F) 0.731 states/eV per atom. Number 3: N(E_F) 1.549 states/eV per atom. Number 4: N(E_F) 0.963 states/eV per atom.